No. 1
Entry from the Alexandria database: a relaxed TiVAs2Br crystal (GGA-PBE).

a = 4.872 Å, b = 4.872 Å, c = 5.096 Å
α = 90.00°, β = 90.00°, γ = 90.00°
Space group P4/mmm (No. 123)
One atom of each set of equivalent atoms:
1 Ti 0.000 0.000 0.000 x1
2 V 0.500 0.500 0.500 x1
3 As 0.000 0.500 0.000 x2
4 Br 0.000 0.000 0.500 x1

E above lowest polymorph = 5 kJ/mol of formula units
crystal system = tetragonal

No. 2
Entry from the Alexandria database: a relaxed CaAlAu crystal (GGA-PBE).

a = 3.503 Å, b = 3.503 Å, c = 10.769 Å
α = 90.00°, β = 90.00°, γ = 90.00°
Space group I4mm (No. 107)
One atom of each set of equivalent atoms:
1 Ca 0.000 0.000 0.000 x2
2 Al 0.000 0.000 0.297 x2
3 Au 0.000 0.000 0.696 x2

calculated formation energy = -0.4890 eV per atom
crystal system = tetragonal

No. 3
Entry from the Alexandria database: a relaxed VSn3Ir crystal (GGA-PBE).

a = 5.046 Å, b = 5.046 Å, c = 5.046 Å
α = 90.00°, β = 90.00°, γ = 90.00°
Space group Pm-3m (No. 221)
One atom of each set of equivalent atoms:
1 V 0.000 0.000 0.000 x1
2 Sn 0.000 0.000 0.500 x3
3 Ir 0.500 0.500 0.500 x1

E above lowest polymorph = 161 kJ/mol of formula units
calculated formation energy = 0.9974 eV per atom
crystal system = cubic

No. 4
Entry from the Alexandria database: a relaxed Pm5SmHo2Th crystal (GGA-PBE).

a = 5.807 Å, b = 21.782 Å, c = 9.873 Å
α = 90.00°, β = 90.00°, γ = 90.00°
Space group Cmc2_1 (No. 36)
One atom of each set of equivalent atoms:
1 Pm 0.000 0.015 0.000 x4
2 Pm 0.000 0.276 0.702 x4
3 Pm 0.000 0.301 0.307 x4
4 Pm 0.000 0.400 0.976 x4
5 Pm 0.000 0.467 0.276 x4
6 Sm 0.000 0.187 0.000 x4
7 Ho 0.000 0.119 0.681 x4
8 Ho 0.000 0.124 0.302 x4
9 Th 0.000 0.408 0.595 x4

calculated formation energy = 0.1526 eV per atom
crystal system = orthorhombic

No. 5
Entry from the Alexandria database: a relaxed MgScIr2 crystal (GGA-PBE).

a = 8.813 Å, b = 3.004 Å, c = 5.076 Å
α = 90.00°, β = 103.04°, γ = 90.00°
Space group C2/m (No. 12)
One atom of each set of equivalent atoms:
1 Mg 0.000 0.000 0.000 x2
2 Sc 0.000 0.500 0.500 x2
3 Ir 0.250 0.000 0.767 x4

calculated formation energy = -0.4177 eV per atom
crystal system = monoclinic

| no. | M_tot (μB per formula unit) | density of states at the Fermi level (states/eV/atom) |
| --- | --- | --- |
| 1 | 3.09 | 1.34 |
| 2 | 0.00 | 0.55 |
| 3 | 3.48 | 1.24 |
| 4 | 0.00 | 1.17 |
| 5 | 0.00 | 0.55 |